(1)
LiMo3O9: optimized geometry, PBE+U.

**DOS at the Fermi energy**: 0.00 states/eV/f.u.

abc: 8.475 8.475 10.751
angles: 122.43 122.43 51.82
Fractional coordinates of all 26 atoms:
Li (0.244, 0.756, 0.500)
Li (0.756, 0.244, 0.000)
Mo (0.236, 0.275, 0.763)
Mo (0.275, 0.236, 0.263)
Mo (0.515, 0.717, 0.311)
Mo (0.717, 0.515, 0.811)
Mo (0.757, 0.982, 0.175)
Mo (0.982, 0.757, 0.675)
O (0.024, 0.385, 0.836)
O (0.054, 0.240, 0.102)
O (0.100, 0.862, 0.670)
O (0.182, 0.485, 0.706)
O (0.198, 0.477, 0.407)
O (0.240, 0.054, 0.602)
O (0.366, 0.662, 0.334)
O (0.385, 0.024, 0.336)
O (0.477, 0.198, 0.907)
O (0.485, 0.182, 0.206)
O (0.554, 0.599, 0.646)
O (0.599, 0.554, 0.146)
O (0.662, 0.366, 0.834)
O (0.735, 0.760, 0.000)
O (0.760, 0.735, 0.500)
O (0.862, 0.100, 0.170)
O (0.888, 0.922, 0.834)
O (0.922, 0.888, 0.334)

(2)
Cs2HoW3O12: optimized geometry, PBE+U.

**DOS at the Fermi energy**: 11.68 states/eV/f.u.

abc: 7.683 7.683 7.683
angles: 58.57 58.57 58.57
Fractional coordinates of all 18 atoms:
Cs (0.126, 0.126, 0.126)
Cs (0.874, 0.874, 0.874)
Ho (0.500, 0.500, 0.500)
W (0.000, 0.500, 0.500)
W (0.500, 0.000, 0.500)
W (0.500, 0.500, 0.000)
O (0.150, 0.573, 0.573)
O (0.198, 0.198, 0.566)
O (0.198, 0.566, 0.198)
O (0.427, 0.427, 0.850)
O (0.427, 0.850, 0.427)
O (0.434, 0.802, 0.802)
O (0.566, 0.198, 0.198)
O (0.573, 0.150, 0.573)
O (0.573, 0.573, 0.150)
O (0.802, 0.434, 0.802)
O (0.802, 0.802, 0.434)
O (0.850, 0.427, 0.427)

Number 1: uncorrected energy -6.786 eV per atom. Number 2: uncorrected energy -7.053 eV per atom.